[1]
An optimized crystal structure of PPtC3, computed with PBE.

Properties
Energy of formation from the pure elements (eV per atom): 2.675
Raw total energy (eV per atom): -5.150
Energy relative to the lowest polymorph listed for this composition (meV per atom): 680.0

Cell: 4.015 4.015 4.015 Å, 90.00 90.00 90.00°
Element x y z (fractional)
P 0.500 0.500 0.500
C 0.000 0.500 0.000
C 0.000 0.000 0.500
C 0.500 0.000 0.000
Pt 0.000 0.000 0.000

[2]
An optimized crystal structure of PPtC3, computed with PBE.

Properties
Energy of formation from the pure elements (eV per atom): 1.995
Raw total energy (eV per atom): -5.830
Energy relative to the lowest polymorph listed for this composition (meV per atom): 0.0

Cell: 3.660 3.660 3.660 Å, 90.00 90.00 90.00°
Element x y z (fractional)
P 0.000 0.000 0.000
C 0.000 0.500 0.000
C 0.000 0.000 0.500
C 0.500 0.000 0.000
Pt 0.500 0.500 0.500

[3]
An optimized crystal structure of P2PtC, computed with PBE.

Properties
Energy of formation from the pure elements (eV per atom): 0.131
Raw total energy (eV per atom): -6.390

Cell: 5.131 5.131 5.597 Å, 62.72 62.72 90.00°
Element x y z (fractional)
P 0.563 0.125 0.250
P 0.187 0.625 0.250
P 0.375 0.437 0.750
P 0.875 0.813 0.750
C 0.500 0.500 0.000
C 0.250 0.750 0.500
Pt 0.000 0.000 0.000
Pt 0.750 0.250 0.500

[4]
An optimized crystal structure of PPtC2, computed with PBE.

Properties
Energy of formation from the pure elements (eV per atom): 0.582
Raw total energy (eV per atom): -6.893

Cell: 4.590 4.590 5.343 Å, 64.56 64.56 90.00°
Element x y z (fractional)
P 0.500 0.500 0.000
P 0.250 0.750 0.500
C 0.568 0.125 0.250
C 0.182 0.625 0.250
C 0.375 0.432 0.750
C 0.875 0.818 0.750
Pt 0.000 0.000 0.000
Pt 0.750 0.250 0.500

> Which of these has the lowest energy of formation from the pure elements?

P2PtC

> Among the records above, which one has the highest raw total energy?

number 1

> Look up the raw total energy of the first one.

-5.150 eV per atom